Record 1
Entry from the Alexandria database: crystalline Cs2IBr at its relaxed geometry (PBE).

```
data_Cs2IBr
_chemical_formula_sum 'Cs8 I4 Br4'
_cell_length_a 9.072
_cell_length_b 9.072
_cell_length_c 9.072
_cell_angle_alpha 90.00
_cell_angle_beta 90.00
_cell_angle_gamma 90.00
_symmetry_space_group_name_H-M 'F m -3 m'
_symmetry_Int_Tables_number 225
_symmetry_space_group_name_Hall '-F 4 2 3'
loop_
_atom_site_label
_atom_site_type_symbol
_atom_site_fract_x
_atom_site_fract_y
_atom_site_fract_z
Cs1 Cs 0.250 0.250 0.250
I1 I 0.000 0.000 0.000
Br1 Br 0.000 0.000 0.500
```

formation energy from raw total energies	-6.49	eV per formula unit
E above lowest polymorph	43	meV per atom



Record 2
Entry from the Alexandria database: crystalline LaPuTlIn at its relaxed geometry (PBE).

```
data_LaPuTlIn
_chemical_formula_sum 'La4 Pu4 Tl4 In4'
_cell_length_a 7.804
_cell_length_b 7.804
_cell_length_c 7.804
_cell_angle_alpha 90.00
_cell_angle_beta 90.00
_cell_angle_gamma 90.00
_symmetry_space_group_name_H-M 'F -4 3 m'
_symmetry_Int_Tables_number 216
_symmetry_space_group_name_Hall 'F -4 2 3'
loop_
_atom_site_label
_atom_site_type_symbol
_atom_site_fract_x
_atom_site_fract_y
_atom_site_fract_z
La1 La 0.000 0.000 0.000
Pu1 Pu 0.000 0.000 0.500
Tl1 Tl 0.250 0.250 0.250
In1 In 0.250 0.250 0.750
```

ΔH_f (0 K)	-220	meV/atom



Record 3
Entry from the Alexandria database: crystalline Ti4In3Rh at its relaxed geometry (PBE).

```
data_Ti4In3Rh
_chemical_formula_sum 'Ti4 In3 Rh1'
_cell_length_a 2.965
_cell_length_b 2.965
_cell_length_c 16.507
_cell_angle_alpha 90.00
_cell_angle_beta 90.00
_cell_angle_gamma 90.00
_symmetry_space_group_name_H-M 'P 4/m m m'
_symmetry_Int_Tables_number 123
_symmetry_space_group_name_Hall '-P 4 2'
loop_
_atom_site_label
_atom_site_type_symbol
_atom_site_fract_x
_atom_site_fract_y
_atom_site_fract_z
Ti1 Ti 0.000 0.000 0.103
Ti2 Ti 0.000 0.000 0.370
In1 In 0.500 0.500 0.238
In2 In 0.500 0.500 0.500
Rh1 Rh 0.500 0.500 0.000
```

ΔH_f (0 K)	-292	meV/atom



Record 4
Entry from the Alexandria database: crystalline BeHgAsF2 at its relaxed geometry (PBE).

```
data_BeHgAsF2
_chemical_formula_sum 'Be1 Hg1 As1 F2'
_cell_length_a 3.596
_cell_length_b 3.596
_cell_length_c 7.610
_cell_angle_alpha 90.00
_cell_angle_beta 90.00
_cell_angle_gamma 90.00
_symmetry_space_group_name_H-M 'P 4/m m m'
_symmetry_Int_Tables_number 123
_symmetry_space_group_name_Hall '-P 4 2'
loop_
_atom_site_label
_atom_site_type_symbol
_atom_site_fract_x
_atom_site_fract_y
_atom_site_fract_z
Be1 Be 0.000 0.000 0.000
Hg1 Hg 0.000 0.000 0.500
As1 As 0.500 0.500 0.500
F1 F 0.000 0.500 0.000
```

formation energy from raw total energies	-5.95	eV per formula unit



no.,DFT total energy (eV per atom)
1,-2.8549
2,-6.3110
3,-6.1857
4,-3.6738